MoIr3Ru after structural relaxation, computed with PBE-GGA.

Summary:
- offset from the most stable computed form (eV/f.u.) = 10.59
- energy of formation (eV/atom) = 1.964
- N(E_F) (states/eV/atom) = 1.087
- symmetry = No. 221

Lattice parameters (Å, degrees): 4.6762 4.6762 4.6762 90.00 90.00 90.00
Element x y z (fractional)
Mo1 0.0000 0.0000 0.0000
Ir1 0.0000 0.0000 0.5000
Ir2 0.0000 0.5000 0.0000
Ir3 0.5000 0.0000 0.0000
Ru1 0.5000 0.5000 0.5000

---

SnHgSb2 after structural relaxation, computed with PBE-GGA.

Summary:
- raw formation energy (meV per atom) = 180
- N(E_F) (states/eV/atom) = 0.411
- symmetry = No. 123

Lattice parameters (Å, degrees): 5.0788 5.0788 4.2055 90.00 90.00 90.00
Element x y z (fractional)
Sn1 0.0000 0.0000 0.0000
Hg1 0.5000 0.5000 0.0000
Sb1 0.0000 0.5000 0.5000
Sb2 0.5000 0.0000 0.5000

---

TcRu4Rh after structural relaxation, computed with PBE-GGA.

Summary:
- offset from the most stable computed form (eV/f.u.) = 0.00
- energy of formation (eV/atom) = 0.249
- N(E_F) (states/eV/atom) = 0.994
- symmetry = No. 15

Lattice parameters (Å, degrees): 7.6914 7.6914 4.6023 90.28 90.28 140.20
Element x y z (fractional)
Tc1 0.1385 0.8615 0.7500
Tc2 0.8615 0.1385 0.2500
Ru1 0.0488 0.4515 0.7683
Ru2 0.2166 0.2784 0.6341
Ru3 0.2784 0.2166 0.1341
Ru4 0.4515 0.0488 0.2683
Ru5 0.5485 0.9512 0.7317
Ru6 0.7216 0.7834 0.8659
Ru7 0.7834 0.7216 0.3659
Ru8 0.9512 0.5485 0.2317
Rh1 0.3631 0.6369 0.2500
Rh2 0.6369 0.3631 0.7500

---

Tb2PrEu after structural relaxation, computed with PBE-GGA.

Summary:
- offset from the most stable computed form (eV/f.u.) = 0.37
- energy of formation (eV/atom) = 0.153
- N(E_F) (states/eV/atom) = 1.959
- symmetry = No. 225

Lattice parameters (Å, degrees): 8.2339 8.2339 8.2339 90.00 90.00 90.00
Element x y z (fractional)
Tb1 0.2500 0.2500 0.2500
Tb2 0.2500 0.2500 0.7500
Tb3 0.2500 0.7500 0.2500
Tb4 0.2500 0.7500 0.7500
Tb5 0.7500 0.2500 0.2500
Tb6 0.7500 0.2500 0.7500
Tb7 0.7500 0.7500 0.2500
Tb8 0.7500 0.7500 0.7500
Pr1 0.0000 0.0000 0.0000
Pr2 0.0000 0.5000 0.5000
Pr3 0.5000 0.0000 0.5000
Pr4 0.5000 0.5000 0.0000
Eu1 0.0000 0.0000 0.5000
Eu2 0.0000 0.5000 0.0000
Eu3 0.5000 0.0000 0.0000
Eu4 0.5000 0.5000 0.5000

---

KZnCo2 after structural relaxation, computed with PBE-GGA.

Summary:
- energy of formation (eV/atom) = 0.758
- N(E_F) (states/eV/atom) = 0.936
- symmetry = No. 166

Lattice parameters (Å, degrees): 2.7424 2.7424 28.9702 90.00 90.00 120.00
Element x y z (fractional)
K1 0.0000 0.0000 0.0000
K2 0.3333 0.6667 0.6667
K3 0.6667 0.3333 0.3333
Zn1 0.0000 0.0000 0.5000
Zn2 0.3333 0.6667 0.1667
Zn3 0.6667 0.3333 0.8333
Co1 0.0000 0.0000 0.2367
Co2 0.0000 0.0000 0.7633
Co3 0.3333 0.6667 0.4300
Co4 0.3333 0.6667 0.9034
Co5 0.6667 0.3333 0.0966
Co6 0.6667 0.3333 0.5700

---

YInPb after structural relaxation, computed with PBE-GGA.

Summary:
- offset from the most stable computed form (eV/f.u.) = 0.49
- energy of formation (eV/atom) = -0.233
- N(E_F) (states/eV/atom) = 0.926
- symmetry = No. 107

Lattice parameters (Å, degrees): 3.8256 3.8256 11.4705 90.00 90.00 90.00
Element x y z (fractional)
Y1 0.0000 0.0000 0.0000
Y2 0.5000 0.5000 0.5000
In1 0.0000 0.0000 0.6668
In2 0.5000 0.5000 0.1668
Pb1 0.0000 0.0000 0.3173
Pb2 0.5000 0.5000 0.8173

---

TmHf2Th after structural relaxation, computed with PBE-GGA.

Summary:
- offset from the most stable computed form (eV/f.u.) = 0.19
- energy of formation (eV/atom) = 0.184
- N(E_F) (states/eV/atom) = 1.301
- symmetry = No. 123

Lattice parameters (Å, degrees): 3.9186 3.9186 6.8940 90.00 90.00 90.00
Element x y z (fractional)
Tm1 0.0000 0.0000 0.0000
Hf1 0.5000 0.5000 0.2747
Hf2 0.5000 0.5000 0.7253
Th1 0.0000 0.0000 0.5000

---

YSc2In3Te6 after structural relaxation, computed with PBE-GGA.

Summary:
- raw formation energy (meV per atom) = -892
- N(E_F) (states/eV/atom) = 0.068
- symmetry = No. 12

Lattice parameters (Å, degrees): 7.4350 7.4350 8.4028 98.49 98.49 119.93
Element x y z (fractional)
Y1 0.0000 0.0000 0.0000
Sc1 0.3326 0.6674 0.0000
Sc2 0.6674 0.3326 0.0000
In1 0.1618 0.8382 0.5000
In2 0.5000 0.5000 0.5000
In3 0.8382 0.1618 0.5000
Te1 0.0715 0.4167 0.2143
Te2 0.2757 0.2757 0.7902
Te3 0.4167 0.0715 0.2143
Te4 0.5833 0.9285 0.7857
Te5 0.7243 0.7243 0.2098
Te6 0.9285 0.5833 0.7857

---

Which of these has the lowest N(E_F)? YSc2In3Te6

---

The highest N(E_F) belongs to which entry? Tb2PrEu

---

Repeat the seventh record exactly.
TmHf2Th after structural relaxation, computed with PBE-GGA.

Summary:
- offset from the most stable computed form (eV/f.u.) = 0.19
- energy of formation (eV/atom) = 0.184
- N(E_F) (states/eV/atom) = 1.301
- symmetry = No. 123

Lattice parameters (Å, degrees): 3.9186 3.9186 6.8940 90.00 90.00 90.00
Element x y z (fractional)
Tm1 0.0000 0.0000 0.0000
Hf1 0.5000 0.5000 0.2747
Hf2 0.5000 0.5000 0.7253
Th1 0.0000 0.0000 0.5000

---

The lowest N(E_F) belongs to which entry? YSc2In3Te6